Entry 1:
A plane-wave DFT calculation with PBE was carried out for an optimized crystal structure of Tl3CuMo.

a = 5.1638 Å, b = 5.1638 Å, c = 5.1638 Å
α = 90.00°, β = 90.00°, γ = 90.00°
Space group Pm-3m (No. 221)
One atom of each set of equivalent atoms:
Tl (0.0000, 0.0000, 0.5000)
Cu (0.0000, 0.0000, 0.0000)
Mo (0.5000, 0.5000, 0.5000)

Values from the calculation:
* theoretical density: 9.3 g/cm3
* distance to the lowest polymorph of the same formula: 0.00 eV per formula unit
* energy of formation: 1.025 eV per atom
* volume: 138 Å³ per cell


Entry 2:
A plane-wave DFT calculation with PBE was carried out for an optimized crystal structure of TlCuMo2.

a = 5.3469 Å, b = 8.8639 Å, c = 2.8189 Å
α = 90.00°, β = 90.00°, γ = 90.00°
Space group Cmmm (No. 65)
One atom of each set of equivalent atoms:
Tl (0.0000, 0.0000, 0.0000)
Cu (0.0000, 0.5000, 0.0000)
Mo (0.2500, 0.2500, 0.5000)

Values from the calculation:
* theoretical density: 11.4 g/cm3
* distance to the lowest polymorph of the same formula: 0.89 eV per formula unit
* energy of formation: 0.626 eV per atom
* volume: 134 Å³ per cell


Entry 3:
A plane-wave DFT calculation with PBE was carried out for an optimized crystal structure of TlCu2Mo2.

a = 3.7744 Å, b = 3.7744 Å, c = 12.1043 Å
α = 90.00°, β = 90.00°, γ = 90.00°
Space group I4/mmm (No. 139)
One atom of each set of equivalent atoms:
Tl (0.0000, 0.0000, 0.0000)
Cu (0.0000, 0.5000, 0.2500)
Mo (0.0000, 0.0000, 0.4015)

Values from the calculation:
* theoretical density: 10.1 g/cm3
* distance to the lowest polymorph of the same formula: 0.77 eV per formula unit
* energy of formation: 0.752 eV per atom
* volume: 172 Å³ per cell


Entry 4:
A plane-wave DFT calculation with PBE was carried out for an optimized crystal structure of Tl4CuMo.

a = 8.7994 Å, b = 8.7994 Å, c = 8.7994 Å
α = 90.00°, β = 90.00°, γ = 90.00°
Space group F-43m (No. 216)
One atom of each set of equivalent atoms:
Tl (0.1250, 0.1250, 0.1250)
Cu (0.2500, 0.2500, 0.7500)
Mo (0.0000, 0.0000, 0.5000)

Values from the calculation:
* theoretical density: 9.5 g/cm3
* energy of formation: 1.067 eV per atom
* volume: 681 Å³ per cell


Entry 5:
A plane-wave DFT calculation with PBE was carried out for an optimized crystal structure of Tl2CuMo.

a = 3.1290 Å, b = 3.1290 Å, c = 27.6529 Å
α = 90.00°, β = 90.00°, γ = 120.00°
Space group R-3m (No. 166, hexagonal axes)
One atom of each set of equivalent atoms:
Tl (0.0000, 0.0000, 0.2466)
Cu (0.0000, 0.0000, 0.5000)
Mo (0.0000, 0.0000, 0.0000)

Values from the calculation:
* theoretical density: 12.1 g/cm3
* distance to the lowest polymorph of the same formula: 0.52 eV per formula unit
* energy of formation: 0.674 eV per atom
* volume: 234 Å³ per cell


Entry 6:
A plane-wave DFT calculation with PBE was carried out for an optimized crystal structure of TlCuMo2.

a = 9.3813 Å, b = 2.7945 Å, c = 5.1794 Å
α = 90.00°, β = 95.99°, γ = 90.00°
Space group Cm (No. 8)
One atom of each set of equivalent atoms:
Tl (0.0000, 0.0000, 0.0000)
Cu (0.2482, 0.0000, 0.7682)
Mo (0.0093, 0.5000, 0.5066)
Mo (0.2515, 0.5000, 0.3053)

Values from the calculation:
* theoretical density: 11.3 g/cm3
* distance to the lowest polymorph of the same formula: 0.70 eV per formula unit
* energy of formation: 0.578 eV per atom
* volume: 135 Å³ per cell


Entry 7:
A plane-wave DFT calculation with PBE was carried out for an optimized crystal structure of TlCuMo2.

a = 9.8886 Å, b = 3.4386 Å, c = 4.2088 Å
α = 90.00°, β = 111.89°, γ = 90.00°
Space group C2/m (No. 12)
One atom of each set of equivalent atoms:
Tl (0.0000, 0.0000, 0.0000)
Cu (0.0000, 0.5000, 0.5000)
Mo (0.2435, 0.0000, 0.7282)

Values from the calculation:
* theoretical density: 11.5 g/cm3
* distance to the lowest polymorph of the same formula: 0.42 eV per formula unit
* energy of formation: 0.508 eV per atom
* volume: 133 Å³ per cell


Entry 8:
A plane-wave DFT calculation with PBE was carried out for an optimized crystal structure of Tl2CuMo.

a = 3.1595 Å, b = 5.3834 Å, c = 9.3273 Å
α = 90.00°, β = 90.00°, γ = 90.00°
Space group Cmmm (No. 65)
One atom of each set of equivalent atoms:
Tl (0.0000, 0.0000, 0.2401)
Cu (0.0000, 0.5000, 0.0000)
Mo (0.0000, 0.5000, 0.5000)

Values from the calculation:
* theoretical density: 11.9 g/cm3
* distance to the lowest polymorph of the same formula: 0.56 eV per formula unit
* energy of formation: 0.683 eV per atom
* volume: 159 Å³ per cell


Entry 9:
A plane-wave DFT calculation with PBE was carried out for an optimized crystal structure of Tl2CuMo.

a = 4.1751 Å, b = 4.1751 Å, c = 8.8471 Å
α = 90.00°, β = 90.00°, γ = 90.00°
Space group I4/mmm (No. 139)
One atom of each set of equivalent atoms:
Tl (0.0000, 0.5000, 0.2500)
Cu (0.0000, 0.0000, 0.0000)
Mo (0.0000, 0.0000, 0.5000)

Values from the calculation:
* theoretical density: 12.2 g/cm3
* distance to the lowest polymorph of the same formula: 0.99 eV per formula unit
* energy of formation: 0.792 eV per atom
* volume: 154 Å³ per cell


Entry 10:
A plane-wave DFT calculation with PBE was carried out for an optimized crystal structure of TlCuMo2.

a = 2.8490 Å, b = 2.8490 Å, c = 8.1909 Å
α = 90.00°, β = 90.00°, γ = 90.00°
Space group P4/mmm (No. 123)
One atom of each set of equivalent atoms:
Tl (0.0000, 0.0000, 0.0000)
Cu (0.0000, 0.0000, 0.5000)
Mo (0.5000, 0.5000, 0.2847)

Values from the calculation:
* theoretical density: 11.5 g/cm3
* distance to the lowest polymorph of the same formula: 0.95 eV per formula unit
* energy of formation: 0.642 eV per atom
* volume: 66 Å³ per cell


Entry 11:
A plane-wave DFT calculation with PBE was carried out for an optimized crystal structure of TlCuMo2.

a = 6.4523 Å, b = 6.4523 Å, c = 6.4523 Å
α = 90.00°, β = 90.00°, γ = 90.00°
Space group F-43m (No. 216)
One atom of each set of equivalent atoms:
Tl (0.0000, 0.0000, 0.0000)
Cu (0.2500, 0.2500, 0.7500)
Mo (0.0000, 0.0000, 0.5000)
Mo (0.2500, 0.2500, 0.2500)

Values from the calculation:
* theoretical density: 11.4 g/cm3
* distance to the lowest polymorph of the same formula: 1.03 eV per formula unit
* energy of formation: 0.661 eV per atom
* volume: 269 Å³ per cell


Entry 12:
A plane-wave DFT calculation with PBE was carried out for an optimized crystal structure of Tl3CuMo.

a = 5.4156 Å, b = 5.4156 Å, c = 5.4156 Å
α = 90.00°, β = 90.00°, γ = 90.00°
Space group Pm-3m (No. 221)
One atom of each set of equivalent atoms:
Tl (0.0000, 0.0000, 0.5000)
Cu (0.5000, 0.5000, 0.5000)
Mo (0.0000, 0.0000, 0.0000)

Values from the calculation:
* theoretical density: 8.1 g/cm3
* distance to the lowest polymorph of the same formula: 0.01 eV per formula unit
* energy of formation: 1.027 eV per atom
* volume: 159 Å³ per cell


Entry 13:
A plane-wave DFT calculation with PBE was carried out for an optimized crystal structure of Tl2CuMo.

a = 3.9948 Å, b = 3.9948 Å, c = 9.7797 Å
α = 90.00°, β = 90.00°, γ = 90.00°
Space group I-4m2 (No. 119)
One atom of each set of equivalent atoms:
Tl (0.0000, 0.0000, 0.0000)
Tl (0.0000, 0.5000, 0.2500)
Cu (0.0000, 0.5000, 0.7500)
Mo (0.0000, 0.0000, 0.5000)

Values from the calculation:
* theoretical density: 12.1 g/cm3
* distance to the lowest polymorph of the same formula: 0.66 eV per formula unit
* energy of formation: 0.707 eV per atom
* volume: 156 Å³ per cell


Entry 14:
A plane-wave DFT calculation with PBE was carried out for an optimized crystal structure of Tl2CuMo.

a = 2.9785 Å, b = 2.9785 Å, c = 9.5820 Å
α = 90.00°, β = 90.00°, γ = 90.00°
Space group P4mm (No. 99)
One atom of each set of equivalent atoms:
Tl (0.0000, 0.0000, 0.0000)
Tl (0.5000, 0.5000, 0.3456)
Cu (0.0000, 0.0000, 0.5872)
Mo (0.5000, 0.5000, 0.7527)

Values from the calculation:
* theoretical density: 11.1 g/cm3
* distance to the lowest polymorph of the same formula: 0.00 eV per formula unit
* energy of formation: 0.543 eV per atom
* volume: 85 Å³ per cell


Entry 15:
A plane-wave DFT calculation with PBE was carried out for an optimized crystal structure of Tl2CuMo.

a = 4.5990 Å, b = 4.5990 Å, c = 3.5906 Å
α = 90.00°, β = 90.00°, γ = 90.00°
Space group P4/mmm (No. 123)
One atom of each set of equivalent atoms:
Tl (0.0000, 0.5000, 0.0000)
Cu (0.0000, 0.0000, 0.5000)
Mo (0.5000, 0.5000, 0.5000)

Values from the calculation:
* theoretical density: 12.4 g/cm3
* distance to the lowest polymorph of the same formula: 0.40 eV per formula unit
* energy of formation: 0.644 eV per atom
* volume: 76 Å³ per cell